1.
Er3Si4Ni7 | Alexandria via LeMat-Bulk | GGA-PBE | optimized geometry; symmetry = C2/m, No. 12; energy relative to the elements, uncorrected = -968 kJ/mol of formula units; DOS(E_F) = 0.7077 states/eV per atom
1.0
3.729 0.000 0.941
1.375 7.047 2.411
0.026 -0.005 7.756
Er Si Ni
3 4 7
direct
0.323 0.181 0.172
0.677 0.819 0.828
0.000 0.500 0.500
0.664 0.450 0.222
0.336 0.550 0.778
0.888 0.895 0.328
0.112 0.105 0.672
0.311 0.849 0.529
0.494 0.234 0.779
0.836 0.407 0.922
0.689 0.151 0.471
0.164 0.593 0.078
0.000 0.000 0.000
0.506 0.766 0.221

2.
Er3Si2Ni | Alexandria via LeMat-Bulk | GGA-PBE | optimized geometry; symmetry = Pnma, No. 62; energy relative to the elements, uncorrected = -436 kJ/mol of formula units; DOS(E_F) = 0.7562 states/eV per atom
1.0
4.087 0.000 0.000
0.000 11.163 0.000
0.000 0.000 11.167
Er Si Ni
12 8 4
direct
0.250 0.375 0.058
0.750 0.625 0.942
0.750 0.875 0.442
0.250 0.125 0.558
0.250 0.697 0.214
0.750 0.303 0.786
0.750 0.197 0.286
0.250 0.803 0.714
0.250 0.441 0.383
0.750 0.559 0.617
0.750 0.941 0.117
0.250 0.059 0.883
0.250 0.687 0.476
0.750 0.313 0.524
0.750 0.187 0.024
0.250 0.813 0.976
0.250 0.005 0.304
0.750 0.995 0.696
0.750 0.505 0.196
0.250 0.495 0.804
0.250 0.134 0.130
0.750 0.866 0.870
0.750 0.634 0.370
0.250 0.366 0.630

3.
ErSi2Ni3 | Alexandria via LeMat-Bulk | GGA-PBE | optimized geometry; symmetry = C2/m, No. 12; energy relative to the elements, uncorrected = -409 kJ/mol of formula units; DOS(E_F) = 0.6322 states/eV per atom
1.0
-2.829 2.099 -1.365
-1.131 -6.798 -2.882
-2.485 0.838 6.440
Er Si Ni
2 4 6
direct
0.847 0.693 0.931
0.153 0.307 0.069
0.480 0.960 0.818
0.520 0.040 0.182
0.813 0.627 0.331
0.187 0.373 0.669
0.317 0.633 0.560
0.962 0.924 0.633
0.594 0.187 0.673
0.406 0.813 0.327
0.038 0.076 0.367
0.683 0.367 0.440

For reference, final energy by record: -85.880; -139.339; -73.988 eV for the cell shown.